# 1
Density functional theory data (GGA-PBE) for TbPr4Y2Mg after structural relaxation.

It has space group P4/mmm (No. 123), with a = 5.1154 Å, b = 5.1154 Å, c = 10.1068 Å, α = 90.00°, β = 90.00° and γ = 90.00°. The asymmetric unit holds Tb at (0.0000, 0.0000, 0.0000), Pr at (0.0000, 0.5000, 0.2546), Y at (0.0000, 0.0000, 0.5000), Y at (0.5000, 0.5000, 0.0000) and Mg at (0.5000, 0.5000, 0.5000).

The value obtained for the spin magnetization is 0.00 μB per atom. The value obtained for the total energy is -38.23 eV/cell. The value obtained for the density of states at the Fermi level is 1.2713 states/eV/atom.

=====

# 2
Density functional theory data (GGA-PBE) for La2Tb9Pm after structural relaxation.

It has space group P4/mmm (No. 123), with a = 5.0928 Å, b = 5.0928 Å, c = 15.2848 Å, α = 90.00°, β = 90.00° and γ = 90.00°. The asymmetric unit holds La at (0.0000, 0.0000, 0.1664), Tb at (0.0000, 0.5000, 0.0000), Tb at (0.0000, 0.5000, 0.3353), Tb at (0.5000, 0.5000, 0.1680), Tb at (0.5000, 0.5000, 0.5000) and Pm at (0.0000, 0.0000, 0.5000).

The value obtained for the spin magnetization is 0.00 μB per atom. The value obtained for the total energy is -55.99 eV/cell. The value obtained for the density of states at the Fermi level is 1.5827 states/eV/atom. The energy relative to the lowest polymorph listed for this composition comes out at 0.000 eV/atom.

=====

# 3
Density functional theory data (GGA-PBE) for CsRb2Sr after structural relaxation.

It has space group Fm-3m (No. 225), with a = 10.9519 Å, b = 10.9519 Å, c = 10.9519 Å, α = 90.00°, β = 90.00° and γ = 90.00°. The asymmetric unit holds Cs at (0.0000, 0.0000, 0.0000), Rb at (0.2500, 0.2500, 0.2500) and Sr at (0.0000, 0.0000, 0.5000).

The value obtained for the spin magnetization is 0.00 μB per atom. The value obtained for the total energy is -15.88 eV/cell. The value obtained for the density of states at the Fermi level is 0.9185 states/eV/atom. The energy relative to the lowest polymorph listed for this composition comes out at 0.022 eV/atom.

=====

# 4
Density functional theory data (GGA-PBE) for Sr3Tm3MgS8 after structural relaxation.

It has space group R-3m (No. 166, hexagonal axes), with a = 7.8932 Å, b = 7.8932 Å, c = 20.4381 Å, α = 90.00°, β = 90.00° and γ = 120.00°. The asymmetric unit holds Sr at (0.0000, 0.5000, 0.0000), Tm at (0.0000, 0.5000, 0.5000), Mg at (0.0000, 0.0000, 0.5000), S at (0.0000, 0.0000, 0.2415) and S at (0.0044, 0.5022, 0.2385).

Its formation energy from raw total energies is -1978.8 meV per atom. The value obtained for the spin magnetization is 0.00 μB per atom. The value obtained for the total energy is -248.27 eV/cell. The value obtained for the density of states at the Fermi level is 0.2475 states/eV/atom.